(1)
DFT (PBE) results for a geometry-optimized Ce4CSe3 structure.

Structure (CIF):
```
data_Ce4CSe3
_chemical_formula_sum 'Ce8 C2 Se6'
_cell_length_a 9.5136
_cell_length_b 8.4871
_cell_length_c 5.8842
_cell_angle_alpha 90.00
_cell_angle_beta 90.00
_cell_angle_gamma 90.00
_symmetry_space_group_name_H-M 'P m n 21'
_symmetry_Int_Tables_number 31
_symmetry_space_group_name_Hall 'P 2ac -2'
loop_
_atom_site_label
_atom_site_type_symbol
_atom_site_fract_x
_atom_site_fract_y
_atom_site_fract_z
_atom_site_occupancy
Ce1 Ce 0.0000 0.1027 0.9998 1
Ce2 Ce 0.0000 0.8284 0.5110 1
Ce3 Ce 0.2173 0.6930 0.0000 1
C1 C 0.0000 0.8232 0.9234 1
Se1 Se 0.0000 0.1671 0.5014 1
Se2 Se 0.2335 0.3422 0.0019 1
```

**Mass density**: 5.7 g/cm³
**E_form (uncorrected)**: -1151 meV/atom
**E**: -6.58 eV/atom
**Excess energy over the best structure of this formula in the dataset**: 236.6 meV per atom

***

(2)
DFT (PBE) results for a geometry-optimized Pr3DyTh2Se6 structure.

Structure (CIF):
```
data_Pr3DyTh2Se6
_chemical_formula_sum 'Pr6 Dy2 Th4 Se12'
_cell_length_a 7.3032
_cell_length_b 12.6254
_cell_length_c 7.3060
_cell_angle_alpha 90.00
_cell_angle_beta 109.50
_cell_angle_gamma 90.00
_symmetry_space_group_name_H-M 'C 1 2/m 1'
_symmetry_Int_Tables_number 12
_symmetry_space_group_name_Hall '-C 2y'
loop_
_atom_site_label
_atom_site_type_symbol
_atom_site_fract_x
_atom_site_fract_y
_atom_site_fract_z
_atom_site_occupancy
Pr1 Pr 0.0000 0.0000 0.0000 1
Pr2 Pr 0.0000 0.3308 0.0000 1
Dy1 Dy 0.0000 0.5000 0.5000 1
Th1 Th 0.0000 0.1665 0.5000 1
Se1 Se 0.2431 0.3370 0.7411 1
Se2 Se 0.2442 0.5000 0.2560 1
```

**Mass density**: 8.0 g/cm³
**E_form (uncorrected)**: -1715 meV/atom
**E**: -6.27 eV/atom

***

(3)
DFT (PBE) results for a geometry-optimized Th2NpIn structure.

Structure (CIF):
```
data_Th2NpIn
_chemical_formula_sum 'Th2 Np1 In1'
_cell_length_a 3.9983
_cell_length_b 3.9983
_cell_length_c 7.1170
_cell_angle_alpha 90.00
_cell_angle_beta 90.00
_cell_angle_gamma 90.00
_symmetry_space_group_name_H-M 'P 4/m m m'
_symmetry_Int_Tables_number 123
_symmetry_space_group_name_Hall '-P 4 2'
loop_
_atom_site_label
_atom_site_type_symbol
_atom_site_fract_x
_atom_site_fract_y
_atom_site_fract_z
_atom_site_occupancy
Th1 Th 0.0000 0.0000 0.2491 1
Np1 Np 0.5000 0.5000 0.0000 1
In1 In 0.5000 0.5000 0.5000 1
```

**Mass density**: 11.9 g/cm³
**E**: -7.45 eV/atom
**Excess energy over the best structure of this formula in the dataset**: 0.0 meV per atom